1.
VASP calculation (PBE-GGA) on an optimized crystal structure of RbInSnSe3.

abc: 9.8076 4.3234 10.9926
angles: 90.00 100.84 90.00
Element x y z (fractional)
Rb 0.1575 0.2500 0.1715
Rb 0.8425 0.7500 0.8285
In 0.0978 0.2500 0.6192
In 0.9022 0.7500 0.3808
Sn 0.3856 0.7500 0.8624
Sn 0.6144 0.2500 0.1376
Se 0.1360 0.2500 0.8505
Se 0.1745 0.7500 0.4977
Se 0.4067 0.7500 0.1109
Se 0.5933 0.2500 0.8891
Se 0.8255 0.2500 0.5023
Se 0.8640 0.7500 0.1495

Calculated values
* space group: P2_1/m
* raw formation energy: -0.683 eV/atom

2.
VASP calculation (PBE-GGA) on an optimized crystal structure of RbIn2SnSe6.

abc: 9.9670 9.9670 8.7091
angles: 113.42 113.42 84.14
Element x y z (fractional)
Rb 0.1809 0.8191 0.7500
Rb 0.8191 0.1809 0.2500
In 0.2406 0.3902 0.9401
In 0.3902 0.2406 0.4401
In 0.6098 0.7594 0.5599
In 0.7594 0.6098 0.0599
Sn 0.1543 0.8457 0.2500
Sn 0.8457 0.1543 0.7500
Se 0.0720 0.1606 0.6743
Se 0.0973 0.6266 0.9467
Se 0.1606 0.0720 0.1743
Se 0.3424 0.4434 0.7092
Se 0.3734 0.9027 0.5533
Se 0.4434 0.3424 0.2092
Se 0.5566 0.6576 0.7908
Se 0.6266 0.0973 0.4467
Se 0.6576 0.5566 0.2908
Se 0.8394 0.9280 0.8257
Se 0.9027 0.3734 0.0533
Se 0.9280 0.8394 0.3257

Calculated values
* space group: C2/c
* raw formation energy: -0.481 eV/atom

The magnetic moment results, record by record, are as follows: 0.00, 0.77 μB/f.u..